Entry 1:
DFT (PBE) results for a relaxed structure of Be3TlTc.

Summary:
energy above the lowest structure with this stoichiometry	803	meV per atom
D(E_F)	0.64	states/eV per atom
DFT formation energy	1.6852	eV/atom

POSCAR file:
```
Be3TlTc
1.0
4.4164 0.0000 0.0000
0.0000 4.4164 0.0000
0.0000 0.0000 4.4164
Be Tl Tc
3 1 1
direct
0.0000 0.0000 0.5000
0.0000 0.5000 0.0000
0.5000 0.0000 0.0000
0.0000 0.0000 0.0000
0.5000 0.5000 0.5000
```

***

Entry 2:
DFT (PBE) results for a relaxed structure of BaAg2Pb2Au.

Summary:
D(E_F)	0.41	states/eV per atom
DFT formation energy	-0.0871	eV/atom

POSCAR file:
```
BaAg2Pb2Au
1.0
-2.4050 2.4050 8.6695
2.4050 -2.4050 8.6695
2.4050 2.4050 -8.6695
Ba Ag Pb Au
1 2 2 1
direct
0.0000 0.0000 0.0000
0.3469 0.3469 0.0000
0.6531 0.6531 0.0000
0.2500 0.7500 0.5000
0.7500 0.2500 0.5000
0.5000 0.5000 0.0000
```

***

Entry 3:
DFT (PBE) results for a relaxed structure of LaNd2YEr.

Summary:
D(E_F)	1.40	states/eV per atom
DFT formation energy	0.2671	eV/atom

POSCAR file:
```
LaNd2YEr
1.0
8.9887 0.0000 0.0000
0.0000 6.4503 0.0000
-1.8267 0.0000 6.1585
La Nd Y Er
2 4 2 2
direct
0.0000 0.0000 0.0000
0.0000 0.0000 0.5000
0.3170 0.3164 0.1678
0.3170 0.6836 0.6678
0.6830 0.3164 0.3322
0.6830 0.6836 0.8322
0.5000 0.1661 0.7500
0.5000 0.8339 0.2500
0.0000 0.4784 0.7500
0.0000 0.5216 0.2500
```

***

Entry 4:
DFT (PBE) results for a relaxed structure of Y2C3.

Summary:
energy above the lowest structure with this stoichiometry	1231	meV per atom
D(E_F)	0.48	states/eV per atom
DFT formation energy	0.9732	eV/atom

POSCAR file:
```
Y2C3
1.0
4.1428 0.0000 0.0000
-2.0714 3.5878 0.0000
0.0000 0.0000 5.1954
Y C
2 3
direct
0.3333 0.6667 0.2584
0.6667 0.3333 0.7416
0.0000 0.0000 0.5000
0.3333 0.6667 0.7746
0.6667 0.3333 0.2254
```

***

Entry 5:
DFT (PBE) results for a relaxed structure of Ba2Sn4Hg3Pb.

Summary:
D(E_F)	0.43	states/eV per atom
DFT formation energy	-0.3409	eV/atom

POSCAR file:
```
Ba2Sn4Hg3Pb
1.0
5.1637 0.0000 0.0000
0.0000 5.1637 0.0000
0.0000 0.0000 11.9393
Ba Sn Hg Pb
2 4 3 1
direct
0.0000 0.5000 0.2467
0.5000 0.0000 0.7533
0.0000 0.0000 0.0000
0.0000 0.5000 0.6350
0.5000 0.0000 0.3650
0.5000 0.5000 0.0000
0.0000 0.5000 0.8714
0.5000 0.0000 0.1286
0.5000 0.5000 0.5000
0.0000 0.0000 0.5000
```

***

Entry 6:
DFT (PBE) results for a relaxed structure of ScZn2Sb.

Summary:
D(E_F)	0.78	states/eV per atom
energy relative to the elements, uncorrected	-0.17	eV/atom

POSCAR file:
```
ScZn2Sb
1.0
3.7366 0.0000 0.0000
0.0000 3.7366 0.0000
0.0000 0.0000 5.7191
Sc Zn Sb
1 2 1
direct
0.0000 0.0000 0.0000
0.5000 0.5000 0.2437
0.5000 0.5000 0.7563
0.0000 0.0000 0.5000
```

***

Copy entry 6 word for word.
DFT (PBE) results for a relaxed structure of ScZn2Sb.

Summary:
D(E_F)	0.78	states/eV per atom
energy relative to the elements, uncorrected	-0.17	eV/atom

POSCAR file:
```
ScZn2Sb
1.0
3.7366 0.0000 0.0000
0.0000 3.7366 0.0000
0.0000 0.0000 5.7191
Sc Zn Sb
1 2 1
direct
0.0000 0.0000 0.0000
0.5000 0.5000 0.2437
0.5000 0.5000 0.7563
0.0000 0.0000 0.5000
```